# 1
Density functional theory data (PBE-GGA) for a geometry-optimized CaNi structure.

Results
ΔH_f (0 K)	329.9	meV/atom
calculated volume	33.93	Å³ per atom
size of the total moment	0.0	Bohr magnetons per cell

Geometry as CIF:
```
data_CaNi
_space_group_name_H-M_alt 'I -4 3 m'
_space_group_IT_number 217
_space_group_name_Hall 'I -4 2 3'
_cell_length_a 8.158
_cell_length_b 8.158
_cell_length_c 8.158
_cell_angle_alpha 90.00
_cell_angle_beta 90.00
_cell_angle_gamma 90.00
loop_
_atom_site_label
_atom_site_type_symbol
_atom_site_fract_x
_atom_site_fract_y
_atom_site_fract_z
Ca1 Ca 0.210 0.210 0.210
Ni1 Ni 0.102 0.102 0.898
```

# 2
Density functional theory data (PBE-GGA) for a geometry-optimized CaNi structure.

Results
ΔH_f (0 K)	129.9	meV/atom
calculated volume	20.77	Å³ per atom
size of the total moment	0.0	Bohr magnetons per cell

Geometry as CIF:
```
data_CaNi
_space_group_name_H-M_alt 'F d d d'
_space_group_IT_number 70
_cell_length_a 5.593
_cell_length_b 8.539
_cell_length_c 13.918
_cell_angle_alpha 90.00
_cell_angle_beta 90.00
_cell_angle_gamma 90.00
loop_
_space_group_symop_operation_xyz
'x,y,z'
'-x,-y,-z'
'-x+1/4,-y+1/4,z'
'x+1/4,y+1/4,-z'
'x,-y+1/4,-z+1/4'
'-x,y+1/4,z+1/4'
'-x+1/4,y,-z+1/4'
'x+1/4,-y,z+1/4'
'x,y+1/2,z+1/2'
'-x,-y+1/2,-z+1/2'
'-x+1/4,-y+3/4,z+1/2'
'x+1/4,y+3/4,-z+1/2'
'x,-y+3/4,-z+3/4'
'-x,y+3/4,z+3/4'
'-x+1/4,y+1/2,-z+3/4'
'x+1/4,-y+1/2,z+3/4'
'x+1/2,y,z+1/2'
'-x+1/2,-y,-z+1/2'
'-x+3/4,-y+1/4,z+1/2'
'x+3/4,y+1/4,-z+1/2'
'x+1/2,-y+1/4,-z+3/4'
'-x+1/2,y+1/4,z+3/4'
'-x+3/4,y,-z+3/4'
'x+3/4,-y,z+3/4'
'x+1/2,y+1/2,z'
'-x+1/2,-y+1/2,-z'
'-x+3/4,-y+3/4,z'
'x+3/4,y+3/4,-z'
'x+1/2,-y+3/4,-z+1/4'
'-x+1/2,y+3/4,z+1/4'
'-x+3/4,y+1/2,-z+1/4'
'x+3/4,-y+1/2,z+1/4'
loop_
_atom_site_label
_atom_site_type_symbol
_atom_site_fract_x
_atom_site_fract_y
_atom_site_fract_z
Ca1 Ca 0.125 0.301 0.125
Ni1 Ni 0.125 0.125 0.543
```

# 3
Density functional theory data (PBE-GGA) for a geometry-optimized Ca2Ni7 structure.

Results
ΔH_f (0 K)	-142.7	meV/atom
calculated volume	14.35	Å³ per atom
size of the total moment	15.1	Bohr magnetons per cell

Geometry as CIF:
```
data_Ca2Ni7
_space_group_name_H-M_alt 'R -3 m'
_space_group_IT_number 166
_space_group_name_Hall '-R 3 2"'
_cell_length_a 4.9824
_cell_length_b 4.9824
_cell_length_c 36.0558
_cell_angle_alpha 90.00
_cell_angle_beta 90.00
_cell_angle_gamma 120.00
loop_
_atom_site_label
_atom_site_type_symbol
_atom_site_fract_x
_atom_site_fract_y
_atom_site_fract_z
Ca1 Ca 0.0000 0.0000 0.0514
Ca2 Ca 0.0000 0.0000 0.1482
Ni1 Ni 0.0000 0.0000 0.2782
Ni2 Ni 0.0000 0.0000 0.3877
Ni3 Ni 0.0000 0.0000 0.5000
Ni4 Ni 0.0000 0.5000 0.0000
Ni5 Ni 0.0014 0.5007 0.1089
```

Respective density of states at the Fermi level values: 1.197 0.925 1.231 states/eV/atom.